(1)
Below is an optimized crystal structure of TbTh4Sc3, with properties calculated at the PBE-GGA level.

Unit cell a=6.0171 b=6.0448 c=7.6959 alpha=104.84 beta=104.64 gamma=110.41
With the nearest neighbours (Å) after each atom.
Positions (direct):
Th 0.2458 0.7465 0.4918  5 Sc 3.39-3.52, 6 Th 3.42-3.50, 1 Tb 3.50
Th 0.6274 0.6270 0.2539  5 Th 3.42-3.50, 5 Sc 3.44-3.48, 2 Tb 3.49
Th 0.7542 0.2535 0.5082  5 Sc 3.39-3.52, 6 Th 3.42-3.50, 1 Tb 3.50
Th 0.3726 0.3730 0.7461  5 Th 3.42-3.50, 5 Sc 3.44-3.48, 2 Tb 3.49
Sc 0.8774 0.8769 0.7553  3 Sc 3.37-3.46, 7 Th 3.44-3.52, 2 Tb 3.45
Sc 0.0000 0.5000 0.0000  6 Th 3.39-3.48, 2 Tb 3.44, 4 Sc 3.46
Sc 0.1226 0.1231 0.2447  3 Sc 3.37-3.46, 7 Th 3.44-3.52, 2 Tb 3.45
Tb 0.5000 0.0000 0.0000  6 Sc 3.44-3.45, 6 Th 3.49-3.50

Results
electronic total energy = -6.618 eV/atom
space-group type = P-1
formation energy = 0.045 eV per atom

---

(2)
Below is an optimized crystal structure of Tb3Th3Sc8, with properties calculated at the PBE-GGA level.

Unit cell a=5.3538 b=9.1920 c=9.1920 alpha=101.90 beta=73.07 gamma=73.07
With the nearest neighbours (Å) after each atom.
Positions (direct):
Th 0.5000 0.0000 0.0000  4 Tb 3.35
Th 0.0000 0.1893 0.8107  8 Sc 3.37-3.54, 2 Tb 3.37
Th 0.0000 0.8107 0.1893  8 Sc 3.37-3.54, 2 Tb 3.37
Sc 0.8414 0.5556 0.7616  5 Sc 2.94-3.26
Sc 0.1586 0.2384 0.4444  5 Sc 2.94-3.26
Sc 0.3414 0.4342 0.8831  6 Sc 3.10-3.35, 2 Th 3.37
Sc 0.6586 0.5658 0.1169  6 Sc 3.10-3.35, 2 Th 3.37
Sc 0.1586 0.4444 0.2384  5 Sc 2.94-3.26
Sc 0.8414 0.7616 0.5556  5 Sc 2.94-3.26
Sc 0.3414 0.8831 0.4342  6 Sc 3.10-3.35, 2 Th 3.37
Sc 0.6586 0.1169 0.5658  6 Sc 3.10-3.35, 2 Th 3.37
Tb 0.1967 0.8033 0.8033  1 Tb 3.12, 4 Th 3.35-3.37, 4 Sc 3.40
Tb 0.8033 0.1967 0.1967  1 Tb 3.12, 4 Th 3.35-3.37, 4 Sc 3.40
Tb 0.5000 0.5000 0.5000  2 Tb 3.12, 8 Sc 3.46

Results
electronic total energy = -6.071 eV/atom
space-group type = Immm
formation energy = 0.129 eV per atom